Compound: BiIrCl3
Source: Alexandria
Functional: PBE
Structure: relaxed

## Properties
The formation energy from raw total energies is 0.189 eV/atom. The value obtained for the total energy is -17.34 eV per formula unit. Its symmetry is Pm-3m, No. 221. As for the relative energy among the computed polymorphs: 0 meV per atom. As for the total magnetic moment: 0.000 μB per formula unit. The density comes out at 7.420 Mg/m³.

a = 4.8430 Å, b = 4.8430 Å, c = 4.8430 Å
α = 90.00°, β = 90.00°, γ = 90.00°
With the nearest neighbours (Å) after each atom.
Sites, in units of the cell vectors:
Cl 0.0000 0.5000 0.0000  2 Ir 2.42
Cl 0.5000 0.0000 0.0000  2 Ir 2.42
Cl 0.0000 0.0000 0.5000  2 Ir 2.42
Bi 0.5000 0.5000 0.5000  12 Cl 3.42
Ir 0.0000 0.0000 0.0000  6 Cl 2.42



Compound: Bi3IrCl3
Source: Alexandria
Functional: PBE
Structure: relaxed

## Properties
The formation energy from raw total energies is -0.490 eV/atom. The value obtained for the total energy is -29.48 eV per formula unit. Its symmetry is I4_132, No. 214. As for the total magnetic moment: 0.000 μB per formula unit. The density comes out at 6.916 Mg/m³.

a = 10.4911 Å, b = 10.4911 Å, c = 10.4911 Å
α = 109.47°, β = 109.47°, γ = 109.47°
With the nearest neighbours (Å) after each atom.
Sites, in units of the cell vectors:
Cl 0.9888 0.2500 0.0112  2 Bi 2.91
Cl 0.5112 0.0223 0.7612  2 Bi 2.91
Cl 0.2612 0.2500 0.7388  2 Bi 2.91
Cl 0.9888 0.7388 0.4777  2 Bi 2.91
Cl 0.2388 0.4777 0.4888  2 Bi 2.91
Cl 0.2612 0.0112 0.0223  2 Bi 2.91
Cl 0.5223 0.7612 0.0112  2 Bi 2.91
Cl 0.7500 0.0112 0.4888  2 Bi 2.91
Cl 0.7500 0.7388 0.7612  2 Bi 2.91
Cl 0.9777 0.4888 0.7388  2 Bi 2.91
Cl 0.2388 0.7612 0.2500  2 Bi 2.91
Cl 0.5112 0.4888 0.2500  2 Bi 2.91
Bi 0.9499 0.4750 0.2250  2 Ir 2.74, 2 Cl 2.91
Bi 0.5250 0.0501 0.2750  2 Ir 2.74, 2 Cl 2.91
Bi 0.7250 0.2750 0.7500  2 Ir 2.74, 2 Cl 2.91
Bi 0.9750 0.2250 0.4499  2 Ir 2.74, 2 Cl 2.91
Bi 0.2500 0.2250 0.2750  2 Ir 2.74, 2 Cl 2.91
Bi 0.5250 0.4750 0.7500  2 Ir 2.74, 2 Cl 2.91
Bi 0.2500 0.0250 0.4750  2 Ir 2.74, 2 Cl 2.91
Bi 0.7750 0.7500 0.2250  2 Ir 2.74, 2 Cl 2.91
Bi 0.9750 0.7500 0.0250  2 Ir 2.74, 2 Cl 2.91
Bi 0.5501 0.2750 0.0250  2 Ir 2.74, 2 Cl 2.91
Bi 0.7750 0.0250 0.0501  2 Ir 2.74, 2 Cl 2.91
Bi 0.7250 0.4499 0.4750  2 Ir 2.74, 2 Cl 2.91
Ir 0.7500 0.2500 0.2500  6 Bi 2.74
Ir 0.0000 0.0000 0.2500  6 Bi 2.74
Ir 0.5000 0.2500 0.5000  6 Bi 2.74
Ir 0.7500 0.5000 0.0000  6 Bi 2.74



Compound: Bi2IrCl
Source: Alexandria
Functional: PBE
Structure: relaxed

## Properties
The formation energy from raw total energies is 0.176 eV/atom. The value obtained for the total energy is -17.77 eV per formula unit. Its symmetry is Fm-3m, No. 225. As for the relative energy among the computed polymorphs: 387 meV per atom. As for the total magnetic moment: 0.000 μB per formula unit. The density comes out at 12.208 Mg/m³.

a = 4.9892 Å, b = 4.9892 Å, c = 4.9892 Å
α = 60.00°, β = 60.00°, γ = 60.00°
With the nearest neighbours (Å) after each atom.
Sites, in units of the cell vectors:
Cl 0.0000 0.0000 0.0000  8 Bi 3.06
Bi 0.2500 0.2500 0.2500  4 Ir 3.06, 4 Cl 3.06
Bi 0.7500 0.7500 0.7500  4 Ir 3.06, 4 Cl 3.06
Ir 0.5000 0.5000 0.5000  8 Bi 3.06



Number 1: DOS(E_F) 3.6 states/eV/cell. Number 2: DOS(E_F) 7.5 states/eV/cell. Number 3: DOS(E_F) 1.9 states/eV/cell.